(1)
4
Lattice="0.0000 3.9060 3.9060 3.9060 0.0000 3.9060 3.9060 3.9060 0.0000" Properties=species:S:1:pos:R:3 comment="Ba2RePt PBE relaxed" dft_energy_ev_per_atom=-4.815 dos_ef_per_ev_cell=4.33 polymorph_energy_kj_per_mol_atoms=56.6 delta_e_f_ev_per_atom=0.769 density_g_cm3=9.14 pbc="T T T"
Re 0.0000 0.0000 0.0000
Ba 1.9530 1.9530 1.9530
Ba 5.8590 5.8590 5.8590
Pt 3.9060 3.9060 3.9060

(2)
4
Lattice="3.7574 0.0000 0.0000 0.0000 3.7663 -0.0077 0.0000 3.7862 8.2523" Properties=species:S:1:pos:R:3 comment="Ba2RePt PBE relaxed" dft_energy_ev_per_atom=-4.899 dos_ef_per_ev_cell=4.35 polymorph_energy_kj_per_mol_atoms=48.5 delta_e_f_ev_per_atom=0.685 density_g_cm3=9.32 pbc="T T T"
Re 1.8787 5.6643 6.1835
Ba 0.0000 3.7658 0.1374
Ba 0.0000 3.7767 3.9772
Pt 1.8787 1.8881 2.0612

(3)
4
Lattice="-3.2332 -1.5662 4.4962 1.8815 -3.9229 -3.7673 2.2913 -0.3622 1.5215" Properties=species:S:1:pos:R:3 comment="BaRe2Pt PBE relaxed" dft_energy_ev_per_atom=-6.899 dos_ef_per_ev_cell=6.00 polymorph_energy_kj_per_mol_atoms=98.3 delta_e_f_ev_per_atom=1.316 density_g_cm3=14.80 pbc="T T T"
Re 0.0000 0.0000 0.0000
Re -0.6758 -2.7445 0.3644
Ba -0.4709 -0.9642 3.0089
Pt 2.0864 -2.1426 -1.1229

(4)
4
Lattice="-1.3341 1.8415 -4.9577 0.9831 -3.6417 -3.9398 -2.6105 -0.2150 4.7843" Properties=species:S:1:pos:R:3 comment="BaRePt2 PBE relaxed" dft_energy_ev_per_atom=-5.815 dos_ef_per_ev_cell=3.75 polymorph_energy_kj_per_mol_atoms=94.6 delta_e_f_ev_per_atom=0.798 density_g_cm3=14.31 pbc="T T T"
Re -0.1755 -0.9001 -4.4487
Ba -2.0600 0.3632 -2.3111
Pt 0.0000 0.0000 0.0000
Pt -0.9015 -2.3784 -1.8021

What did the fourth record say?
4
Lattice="-1.3341 1.8415 -4.9577 0.9831 -3.6417 -3.9398 -2.6105 -0.2150 4.7843" Properties=species:S:1:pos:R:3 comment="BaRePt2 PBE relaxed" dft_energy_ev_per_atom=-5.815 dos_ef_per_ev_cell=3.75 polymorph_energy_kj_per_mol_atoms=94.6 delta_e_f_ev_per_atom=0.798 density_g_cm3=14.31 pbc="T T T"
Re -0.1755 -0.9001 -4.4487
Ba -2.0600 0.3632 -2.3111
Pt 0.0000 0.0000 0.0000
Pt -0.9015 -2.3784 -1.8021

What is the formula in the third record? BaRe2Pt

Which formula does entry 3 have? BaRe2Pt